# CeNbCo2

Crystalline CeNbCo2 at its relaxed geometry (GGA-PBE, Alexandria).

Summary:
Energy in eV per cell: -30.63
Space group: P4/mmm
E above lowest polymorph in eV per atom: 0.000
Formation energy in kJ/mol of atoms: -10.1

The structure in POSCAR format:
```
CeNbCo2
1.0
3.057 0.000 0.000
0.000 3.057 0.000
0.000 0.000 7.039
Nb Co Ce
1 2 1
direct
0.500 0.500 0.000
0.000 0.000 0.802
0.000 0.000 0.198
0.500 0.500 0.500
```

# Cd2CI

Crystalline Cd2CI at its relaxed geometry (GGA-PBE, Alexandria).

Summary:
Energy in eV per cell: -19.76
Space group: I-42d
E above lowest polymorph in eV per atom: 0.000
Uncorrected formation energy in eV per atom: 0.68

The structure in POSCAR format:
```
Cd2CI
1.0
-1.211 -1.792 5.948
4.863 -4.043 -0.228
5.118 0.937 4.691
Cd C I
4 2 2
direct
0.875 0.741 0.750
0.375 0.509 0.750
0.259 0.625 0.250
0.491 0.125 0.250
0.250 0.750 0.500
0.500 0.500 0.000
0.750 0.250 0.500
0.000 0.000 0.000
```

# LiNpIO6

Crystalline LiNpIO6 at its relaxed geometry (GGA-PBE, Alexandria).

Summary:
Energy in eV per cell: -120.39
Space group: P-31c
Uncorrected formation energy in eV per atom: -1.56

The structure in POSCAR format:
```
LiNpIO6
1.0
5.602 0.000 0.000
-2.801 4.852 0.000
0.000 0.000 9.469
O Li Np I
12 2 2 2
direct
0.358 0.356 0.363
0.642 0.998 0.863
0.356 0.998 0.637
0.644 0.642 0.137
0.002 0.358 0.637
0.002 0.644 0.863
0.358 0.002 0.137
0.998 0.356 0.137
0.644 0.002 0.363
0.642 0.644 0.637
0.998 0.642 0.363
0.356 0.358 0.863
0.000 0.000 0.500
0.000 0.000 0.000
0.667 0.333 0.250
0.333 0.667 0.750
0.333 0.667 0.250
0.667 0.333 0.750
```

# LaPb3

Crystalline LaPb3 at its relaxed geometry (GGA-PBE, Alexandria).

Summary:
Energy in eV per cell: -17.16
Space group: P4/mmm
Formation energy in kJ/mol of atoms: -26.7

The structure in POSCAR format:
```
LaPb3
1.0
4.277 0.000 0.000
0.000 4.277 0.000
0.000 0.000 6.869
Pb La
3 1
direct
0.500 0.500 0.261
0.000 0.000 0.500
0.500 0.500 0.739
0.000 0.000 0.000
```

# MnNiS2N

Crystalline MnNiS2N at its relaxed geometry (GGA-PBE, Alexandria).

Summary:
Energy in eV per cell: -26.53
Space group: P4/mmm
E above lowest polymorph in eV per atom: 0.511
Uncorrected formation energy in eV per atom: 1.00

The structure in POSCAR format:
```
MnNiS2N
1.0
-3.580 -2.050 -2.018
2.852 -2.104 -2.921
0.280 -2.603 2.148
N S Mn Ni
1 2 1 1
direct
0.000 0.000 0.500
0.500 0.000 0.000
0.000 0.500 0.000
0.500 0.500 0.500
0.000 0.000 0.000
```

# Fe2HgW

Crystalline Fe2HgW at its relaxed geometry (GGA-PBE, Alexandria).

Summary:
Energy in eV per cell: -27.79
Space group: P4/mmm
Formation energy in kJ/mol of atoms: 57.8

The structure in POSCAR format:
```
Fe2HgW
1.0
-2.979 -1.765 -2.254
0.740 -3.617 1.855
-2.199 0.743 2.326
Fe Hg W
2 1 1
direct
0.000 0.000 0.000
0.500 0.500 0.000
0.500 0.000 0.500
0.000 0.500 0.500
```

Among the records above, which one has the lowest energy?
LiNpIO6